Below is a geometry-optimized BMo2Br structure, with properties calculated at the PBE-GGA level.

DFT total energy, eV per formula unit: -26.3
Space group: No. 122
Spin magnetization, μB per atom: 0.499
Raw formation energy, kJ/mol of formula units: 360
ΔE to the lowest computed polymorph, kJ/mol of formula units: 7

a b c (Å): 5.420 5.420 6.345
angles (deg): 64.71 64.71 90.00
Atoms (fractional coordinates):
Mo 0.375 0.458 0.750
Mo 0.542 0.125 0.250
Mo 0.875 0.792 0.750
Mo 0.208 0.625 0.250
Br 0.000 0.000 0.000
Br 0.750 0.250 0.500
B 0.250 0.750 0.500
B 0.500 0.500 0.000